Model A:
NaIBr2: relaxed, PBE-GGA.

Cell lengths 8.256, 8.256, 8.388 Å; angles 90.00, 90.00, 90.00 degrees
Space group I-42d (No. 122)
Unique sites:
Na: 0.000 0.000 0.000 x4
I: 0.000 0.000 0.500 x4
Br: 0.215 0.250 0.125 x8

Computed properties:
M_tot in μB/f.u.: 2.0

---

Model B:
NaIBr2: relaxed, PBE-GGA.

Cell lengths 5.8273, 5.8273, 14.4380 Å; angles 90.00, 90.00, 120.00 degrees
Space group R-3m (No. 166, hexagonal axes)
Unique sites:
Na: 0.0000 0.0000 0.0000 x3
I: 0.0000 0.0000 0.5000 x3
Br: 0.0000 0.0000 0.1920 x6

Computed properties:
M_tot in μB/f.u.: 0.0

---

Last place for stability: model B

---

Model A:
Na3I2Br: relaxed, PBE-GGA.

Cell lengths 4.467, 6.391, 13.591 Å; angles 90.00, 90.00, 90.00 degrees
Space group Immm (No. 71)
Unique sites:
Na: 0.000 0.000 0.000 x2
Na: 0.000 0.000 0.347 x4
I: 0.000 0.500 0.332 x4
Br: 0.000 0.500 0.000 x2

Computed properties:
M_tot in μB/f.u.: 0.0

---

Model B:
Na3I2Br: relaxed, PBE-GGA.

Cell lengths 4.664, 4.664, 18.597 Å; angles 90.00, 90.00, 90.00 degrees
Space group I4/mmm (No. 139)
Unique sites:
Na: 0.000 0.000 0.000 x2
Na: 0.000 0.000 0.341 x4
I: 0.000 0.000 0.167 x4
Br: 0.000 0.000 0.500 x2

Computed properties:
M_tot in μB/f.u.: 0.0

---

Last place for stability: model B